The following is a PBE calculation of an optimized crystal structure of VCoS2, from the Alexandria database.

```
4
Lattice="0.0000 2.9276 2.9276 2.9276 0.0000 2.9276 2.9276 2.9276 0.0000" Properties=species:S:1:pos:R:3 pbc="T T T"
V 0.0000 0.0000 0.0000
Co 2.9276 2.9276 2.9276
S 1.4638 1.4638 1.4638
S 4.3914 4.3914 4.3914
```

DOS(E_F): 2.6 states/eV per cell
Calculated total energy: -6.30 eV per atom
ΔE_f (raw): -0.18 eV per atom